(1)
Mg3ZrV, relaxed, DFT PBE-GGA; energy above the lowest structure with this stoichiometry = 0.0 meV per atom; E_tot = -3.569 eV/atom; ρ = 2.96 g/cm³
1.0
4.944 0.000 0.000
0.000 4.944 0.000
0.000 0.000 4.944
Mg Zr V
3 1 1
Direct
0.000 0.500 0.000 Mg
0.000 0.000 0.500 Mg
0.500 0.000 0.000 Mg
0.500 0.500 0.500 Zr
0.000 0.000 0.000 V

***

(2)
DyRe, relaxed, DFT PBE-GGA; E_tot = -8.390 eV/atom; ρ = 11.99 g/cm³
1.0
-3.568 1.665 -0.379
-0.821 -2.617 -3.763
-1.654 -2.420 4.941
Re Dy
2 2
Direct
0.250 0.935 0.873 Re
0.750 0.065 0.127 Re
0.250 0.643 0.285 Dy
0.750 0.357 0.715 Dy

***

(3)
LaCe2H, relaxed, DFT PBE-GGA; energy above the lowest structure with this stoichiometry = 0.0 meV per atom; E_tot = -5.121 eV/atom; ρ = 7.28 g/cm³
1.0
3.541 0.000 0.000
1.771 3.067 0.000
1.771 1.022 8.824
La Ce H
1 2 1
Direct
0.502 0.502 0.493 La
0.054 0.054 0.838 Ce
0.278 0.278 0.166 Ce
0.665 0.665 0.004 H

***

(4)
NaPt2Pb4, relaxed, DFT PBE-GGA; E_tot = -4.233 eV/atom; ρ = 10.85 g/cm³
1.0
-4.256 0.248 1.900
-0.779 -1.822 4.226
0.728 8.285 6.285
Na Pt Pb
1 2 4
Direct
0.000 0.000 0.000 Na
0.103 0.103 0.692 Pt
0.897 0.897 0.308 Pt
0.396 0.396 0.811 Pb
0.202 0.202 0.394 Pb
0.798 0.798 0.606 Pb
0.604 0.604 0.189 Pb

***

(5)
Pr2Al3Cu2, relaxed, DFT PBE-GGA; E_tot = -4.519 eV/atom; ρ = 5.69 g/cm³
1.0
-2.694 2.708 -1.625
-0.710 -5.323 -2.394
-2.693 1.358 6.730
Pr Al Cu
2 3 2
Direct
0.871 0.742 0.231 Pr
0.129 0.258 0.769 Pr
0.500 0.000 0.000 Al
0.652 0.303 0.433 Al
0.348 0.697 0.567 Al
0.862 0.723 0.801 Cu
0.138 0.277 0.199 Cu

***

(6)
MnReSe, relaxed, DFT PBE-GGA; energy above the lowest structure with this stoichiometry = 199.2 meV per atom; E_tot = -7.845 eV/atom; formation energy without anion corrections = 0.52 eV/atom; ρ = 12.06 g/cm³
1.0
4.493 -0.013 -0.002
1.800 4.117 0.002
-2.794 -2.592 2.379
Mn Re Se
1 1 1
Direct
0.991 0.991 0.000 Mn
0.337 0.337 0.000 Re
0.671 0.671 0.000 Se

***

(7)
RbNa4Hg4, relaxed, DFT PBE-GGA; E_tot = -0.986 eV/atom; ρ = 5.59 g/cm³
1.0
-3.523 -3.996 -2.120
7.665 -6.533 -0.424
-2.120 -3.095 9.356
Rb Na Hg
2 8 8
Direct
0.000 0.000 0.000 Rb
0.500 0.500 0.500 Rb
0.498 0.409 0.858 Na
0.998 0.642 0.909 Na
0.498 0.591 0.142 Na
0.002 0.091 0.642 Na
0.502 0.858 0.591 Na
0.002 0.909 0.358 Na
0.998 0.358 0.091 Na
0.502 0.142 0.409 Na
0.502 0.897 0.207 Hg
0.502 0.103 0.793 Hg
0.002 0.707 0.603 Hg
0.998 0.397 0.707 Hg
0.998 0.603 0.293 Hg
0.498 0.207 0.103 Hg
0.498 0.793 0.897 Hg
0.002 0.293 0.397 Hg

***

(8)
TaPSe2, relaxed, DFT PBE-GGA; E_tot = -5.667 eV/atom; formation energy without anion corrections = 0.39 eV/atom; ρ = 8.71 g/cm³
1.0
-0.894 -0.683 -3.035
-2.489 -3.177 1.448
-3.893 3.240 0.417
Ta P Se
1 1 2
Direct
0.500 0.500 0.000 Ta
0.000 0.500 0.500 P
0.000 0.000 0.000 Se
0.500 0.000 0.500 Se

***

(9)
ReMo2Os, relaxed, DFT PBE-GGA; E_tot = -11.223 eV/atom; ρ = 15.45 g/cm³
1.0
3.944 0.000 0.000
0.000 3.935 0.000
0.000 0.000 3.935
Mo Os Re
2 1 1
Direct
0.000 0.000 0.000 Mo
0.000 0.500 0.500 Mo
0.500 0.500 0.000 Os
0.500 0.000 0.500 Re

***

(10)
KPdICl6, relaxed, DFT PBE-GGA; E_tot = -2.602 eV/atom; formation energy without anion corrections = -0.50 eV/atom; ρ = 2.63 g/cm³
1.0
-1.610 -3.419 6.546
-5.894 -4.708 0.443
3.659 -4.740 -1.579
K Pd I Cl
1 1 1 6
Direct
0.000 0.000 0.000 K
0.667 0.667 0.500 Pd
0.333 0.333 0.500 I
0.924 0.412 0.283 Cl
0.412 0.924 0.717 Cl
0.664 0.412 0.718 Cl
0.924 0.664 0.718 Cl
0.412 0.664 0.282 Cl
0.664 0.924 0.282 Cl

***

(11)
Ta8NiSe8, relaxed, DFT PBE-GGA; E_tot = -8.212 eV/atom; formation energy without anion corrections = -0.65 eV/atom; ρ = 10.47 g/cm³
1.0
-0.132 -3.235 1.241
16.778 -1.620 -2.435
3.843 7.969 21.183
Ta Ni Se
32 4 32
Direct
0.750 0.041 0.955 Ta
0.250 0.541 0.545 Ta
0.750 0.211 0.333 Ta
0.250 0.048 0.747 Ta
0.250 0.452 0.247 Ta
0.750 0.459 0.455 Ta
0.750 0.199 0.549 Ta
0.250 0.156 0.874 Ta
0.250 0.959 0.045 Ta
0.750 0.817 0.560 Ta
0.750 0.844 0.126 Ta
0.250 0.711 0.167 Ta
0.750 0.952 0.253 Ta
0.250 0.699 0.951 Ta
0.250 0.183 0.440 Ta
0.250 0.065 0.314 Ta
0.750 0.683 0.060 Ta
0.750 0.663 0.485 Ta
0.250 0.435 0.814 Ta
0.750 0.935 0.686 Ta
0.750 0.565 0.186 Ta
0.750 0.656 0.626 Ta
0.750 0.548 0.753 Ta
0.250 0.789 0.667 Ta
0.250 0.337 0.515 Ta
0.250 0.344 0.374 Ta
0.250 0.801 0.451 Ta
0.750 0.289 0.833 Ta
0.250 0.317 0.940 Ta
0.250 0.163 0.015 Ta
0.750 0.301 0.049 Ta
0.750 0.837 0.985 Ta
0.250 0.708 0.556 Ni
0.750 0.292 0.444 Ni
0.250 0.792 0.056 Ni
0.750 0.208 0.944 Ni
0.750 0.087 0.667 Se
0.750 0.710 0.732 Se
0.750 0.392 0.736 Se
0.250 0.931 0.928 Se
0.250 0.953 0.162 Se
0.250 0.587 0.833 Se
0.250 0.913 0.333 Se
0.750 0.413 0.167 Se
0.250 0.411 0.029 Se
0.250 0.547 0.662 Se
0.250 0.577 0.100 Se
0.750 0.790 0.232 Se
0.250 0.608 0.264 Se
0.250 0.290 0.268 Se
0.250 0.892 0.764 Se
0.750 0.911 0.471 Se
0.750 0.589 0.971 Se
0.750 0.108 0.236 Se
0.750 0.453 0.338 Se
0.250 0.233 0.117 Se
0.250 0.267 0.617 Se
0.750 0.047 0.838 Se
0.250 0.923 0.600 Se
0.250 0.569 0.428 Se
0.250 0.210 0.768 Se
0.750 0.431 0.572 Se
0.750 0.423 0.900 Se
0.250 0.089 0.529 Se
0.750 0.069 0.072 Se
0.750 0.733 0.383 Se
0.750 0.767 0.883 Se
0.750 0.077 0.400 Se

***

(12)
Hf6HPt2, relaxed, DFT PBE-GGA; E_tot = -8.895 eV/atom; ρ = 14.30 g/cm³
1.0
-1.232 -5.306 2.248
-0.877 -2.220 -5.721
9.020 -2.179 -0.537
Hf H Pt
12 2 4
Direct
0.832 0.971 0.248 Hf
0.866 0.693 0.546 Hf
0.871 0.711 0.952 Hf
0.629 0.211 0.548 Hf
0.634 0.193 0.954 Hf
0.668 0.471 0.252 Hf
0.168 0.029 0.752 Hf
0.134 0.307 0.454 Hf
0.129 0.289 0.048 Hf
0.371 0.789 0.452 Hf
0.366 0.807 0.046 Hf
0.332 0.529 0.748 Hf
0.500 0.500 0.000 H
0.000 0.000 0.500 H
0.890 0.383 0.754 Pt
0.610 0.883 0.746 Pt
0.390 0.117 0.254 Pt
0.110 0.617 0.246 Pt

***

(13)
Rb2Al2Bi, relaxed, DFT PBE-GGA; E_tot = -2.555 eV/atom; ρ = 4.00 g/cm³
1.0
7.676 0.000 0.000
0.000 7.676 0.000
0.000 0.000 6.116
Bi Rb Al
2 4 4
Direct
0.000 0.000 0.000 Bi
0.500 0.500 0.000 Bi
0.190 0.690 0.500 Rb
0.690 0.810 0.500 Rb
0.810 0.310 0.500 Rb
0.310 0.190 0.500 Rb
0.381 0.881 0.000 Al
0.881 0.619 0.000 Al
0.619 0.119 0.000 Al
0.119 0.381 0.000 Al

***

(14)
Ta2PtPb, relaxed, DFT PBE-GGA; E_tot = -8.267 eV/atom; ρ = 16.96 g/cm³
1.0
4.327 0.000 0.000
0.000 2.962 0.023
0.000 2.841 5.861
Pb Pt Ta
1 1 2
Direct
0.500 0.250 0.250 Pb
0.500 0.750 0.750 Pt
0.000 0.008 0.986 Ta
0.000 0.492 0.514 Ta

***

(15)
Li2CoSi, relaxed, DFT PBE-GGA; E_tot = -4.221 eV/atom; formation energy without anion corrections = -0.13 eV/atom; ρ = 3.56 g/cm³
1.0
4.439 0.000 0.000
0.000 2.624 -0.012
0.000 0.433 4.044
Co Li Si
1 2 1
Direct
0.500 0.750 0.750 Co
0.000 0.999 0.992 Li
0.000 0.501 0.508 Li
0.500 0.250 0.250 Si

***

(16)
BaCa2As2, relaxed, DFT PBE-GGA; energy above the lowest structure with this stoichiometry = 268.0 meV per atom; E_tot = -3.960 eV/atom; ρ = 4.13 g/cm³
1.0
8.715 0.000 0.000
0.000 8.715 0.000
0.000 0.000 3.893
As Ca Ba
4 4 2
Direct
0.338 0.838 0.000 As
0.838 0.662 0.000 As
0.662 0.162 0.000 As
0.162 0.338 0.000 As
0.136 0.636 0.500 Ca
0.636 0.864 0.500 Ca
0.864 0.364 0.500 Ca
0.364 0.136 0.500 Ca
0.000 0.000 0.000 Ba
0.500 0.500 0.000 Ba

***

(17)
As4IrRh, relaxed, DFT PBE-GGA; energy above the lowest structure with this stoichiometry = 0.0 meV per atom; E_tot = -6.150 eV/atom; ρ = 9.10 g/cm³
1.0
6.017 0.000 -0.142
0.000 6.014 0.000
-0.054 0.000 6.001
As Ir Rh
8 2 2
Direct
0.887 0.621 0.118 As
0.613 0.121 0.882 As
0.376 0.383 0.384 As
0.124 0.883 0.616 As
0.113 0.379 0.882 As
0.387 0.879 0.118 As
0.624 0.617 0.616 As
0.876 0.117 0.384 As
0.500 0.000 0.500 Ir
0.000 0.500 0.500 Ir
0.000 0.000 0.000 Rh
0.500 0.500 0.000 Rh

***

(18)
LaTa2Br, relaxed, DFT PBE-GGA; energy above the lowest structure with this stoichiometry = 802.8 meV per atom; E_tot = -6.847 eV/atom; formation energy without anion corrections = 0.73 eV/atom; ρ = 10.10 g/cm³
1.0
-4.686 0.831 -6.752
6.700 -0.858 -4.755
0.607 -2.782 -5.817
La Br Ta
2 2 4
Direct
0.000 0.000 0.000 La
0.750 0.250 0.500 La
0.500 0.500 0.000 Br
0.250 0.750 0.500 Br
0.553 0.125 0.250 Ta
0.197 0.625 0.250 Ta
0.375 0.447 0.750 Ta
0.875 0.803 0.750 Ta

***

(19)
Tb3Tl3SbS8, relaxed, DFT PBE-GGA; E_tot = -5.083 eV/atom; formation energy without anion corrections = -1.21 eV/atom; ρ = 5.76 g/cm³
1.0
8.008 -0.001 0.000
-4.005 6.937 -0.026
0.001 -4.596 7.632
Tb Tl Sb S
3 3 1 8
Direct
0.500 0.000 0.500 Tb
0.500 0.500 0.500 Tb
0.000 0.500 0.500 Tb
0.000 0.000 0.000 Tl
0.000 0.500 0.000 Tl
0.500 0.500 0.000 Tl
0.000 0.000 0.500 Sb
0.267 0.535 0.302 S
0.733 0.465 0.698 S
0.775 0.551 0.308 S
0.225 0.449 0.692 S
0.775 0.033 0.308 S
0.225 0.967 0.692 S
0.257 0.033 0.308 S
0.743 0.967 0.692 S

***

(20)
KLi2Pt, relaxed, DFT PBE-GGA; E_tot = -2.846 eV/atom; ρ = 4.64 g/cm³
1.0
3.337 0.000 0.000
0.000 3.337 0.000
0.000 0.000 7.969
K Li Pt
1 2 1
Direct
0.500 0.500 0.750 K
0.000 0.000 0.099 Li
0.000 0.000 0.401 Li
0.500 0.500 0.250 Pt